[1]
8
Lattice="5.572 0.000 -0.033 0.000 3.359 0.000 -1.936 0.000 6.834" Properties=species:S:1:pos:R:3 comment="Mg2SiB (PBE, optimized geometry)" total_energy_ev_per_atom=-3.742 dos_at_fermi_per_ev_cell=1.34 de_polymorph_ev_per_atom=0.083 raw_formation_energy_ev_per_atom=0.0801 magmom_total_mub_per_cell=0.0 sg="Pm, No. 6" pbc="T T T"
Mg 2.129 0.000 2.284
B 0.267 0.000 6.498
B 0.327 1.679 2.097
Si -0.681 0.000 2.648
Si 1.194 1.679 0.201
Mg 3.986 1.679 0.442
Mg 0.713 1.679 4.596
Mg 3.615 0.000 5.059

***

[2]
4
Lattice="-2.325 -2.291 2.582 1.450 -1.003 3.770 -3.258 5.036 4.890" Properties=species:S:1:pos:R:3 comment="Ac2HPd (PBE, optimized geometry)" total_energy_ev_per_atom=-4.594 dos_at_fermi_per_ev_cell=3.58 de_polymorph_ev_per_atom=0.094 magmom_total_mub_per_cell=0.0 sg="R3m, No. 160" pbc="T T T"
Ac -2.495 3.459 4.177
H -2.104 0.949 5.656
Ac -1.022 0.412 2.800
Pd -3.836 2.829 9.119